Density functional theory data (PBE) for a geometry-optimized AgAsSe2 structure.

Lattice parameters (Å, degrees): 5.252 2.973 7.458 53.34 90.00 90.00
Atoms (fractional coordinates):
As: 0.500 0.791 0.847
Se: 0.000 0.698 0.909
Se: 0.500 0.404 0.439
Ag: 0.000 0.607 0.305

Results
Space-group type: Pm, No. 6
Total energy, eV per atom: -3.5795
Magnetization, μB per formula unit: 0.00

=====

Density functional theory data (PBE) for a geometry-optimized CsRbNaHg2 structure.

Lattice parameters (Å, degrees): 7.765 7.467 7.912 90.00 90.00 90.00
Atoms (fractional coordinates):
Cs: 0.263 0.250 0.500
Cs: 0.737 0.750 0.500
Rb: 0.538 0.750 0.000
Rb: 0.462 0.250 0.000
Na: 0.000 0.000 0.000
Na: 0.000 0.500 0.000
Hg: 0.815 0.250 0.699
Hg: 0.815 0.250 0.301
Hg: 0.185 0.750 0.699
Hg: 0.185 0.750 0.301

Results
Formation enthalpy at 0 K, eV/f.u.: -0.61
Space-group type: Pmma, No. 51
Excess energy over the best structure of this formula in the dataset, eV per formula unit: 0.000
Magnetization, μB per formula unit: 0.00

=====

Density functional theory data (PBE) for a geometry-optimized LaNi structure.

Lattice parameters (Å, degrees): 8.452 13.837 6.116 90.00 90.00 90.00
Atoms (fractional coordinates):
La: 0.313 0.000 0.000
La: 0.687 0.000 0.000
La: 0.937 0.750 0.250
La: 0.563 0.750 0.250
La: 0.313 0.500 0.500
La: 0.687 0.500 0.500
La: 0.937 0.250 0.750
La: 0.563 0.250 0.750
La: 0.813 0.000 0.500
La: 0.187 0.000 0.500
La: 0.437 0.750 0.750
La: 0.063 0.750 0.750
La: 0.813 0.500 0.000
La: 0.187 0.500 0.000
La: 0.437 0.250 0.250
La: 0.063 0.250 0.250
Ni: 0.000 0.912 0.000
Ni: 0.000 0.088 0.000
Ni: 0.250 0.838 0.250
Ni: 0.250 0.662 0.250
Ni: 0.000 0.412 0.500
Ni: 0.000 0.588 0.500
Ni: 0.250 0.338 0.750
Ni: 0.250 0.162 0.750
Ni: 0.500 0.912 0.500
Ni: 0.500 0.088 0.500
Ni: 0.750 0.838 0.750
Ni: 0.750 0.662 0.750
Ni: 0.500 0.412 0.000
Ni: 0.500 0.588 0.000
Ni: 0.750 0.338 0.250
Ni: 0.750 0.162 0.250

Results
Formation enthalpy at 0 K, eV/f.u.: -0.11
Space-group type: Fddd, No. 70
Magnetization, μB per formula unit: 0.00

=====

Density functional theory data (PBE) for a geometry-optimized LiCrFe2 structure.

Lattice parameters (Å, degrees): 4.085 2.394 4.713 81.05 90.00 90.00
Atoms (fractional coordinates):
Cr: 0.500 0.742 0.764
Fe: 0.000 0.990 0.989
Fe: 0.500 0.257 0.259
Li: 0.000 0.512 0.489

Results
Formation enthalpy at 0 K, eV/f.u.: 1.00
Space-group type: Pm, No. 6
Excess energy over the best structure of this formula in the dataset, eV per formula unit: 0.236
Magnetization, μB per formula unit: 3.11

=====

Density functional theory data (PBE) for a geometry-optimized Ca2CdFe structure.

Lattice parameters (Å, degrees): 7.087 7.087 7.087 37.71 37.71 37.71
Atoms (fractional coordinates):
Ca: 0.031 0.031 0.031
Ca: 0.218 0.218 0.218
Fe: 0.794 0.794 0.794
Cd: 0.456 0.456 0.456

Results
Formation enthalpy at 0 K, eV/f.u.: 0.93
Space-group type: R3m, No. 160
Magnetization, μB per formula unit: 2.28

=====

Density functional theory data (PBE) for a geometry-optimized SiPb2Br structure.

Lattice parameters (Å, degrees): 3.605 3.605 8.329 90.00 90.00 88.23
Atoms (fractional coordinates):
Br: 0.500 0.500 0.750
Pb: 0.000 0.000 0.028
Pb: 0.000 0.000 0.472
Si: 0.500 0.500 0.250

Results
Space-group type: Cmmm, No. 65
Excess energy over the best structure of this formula in the dataset, eV per formula unit: 0.360
Magnetization, μB per formula unit: 0.00

=====

What volume values result from the calculations? In sequence: 23.357, 45.880, 22.354, 11.382, 29.860, 27.042 Å³ per atom.